First-principles (GGA-PBEsol) data for crystalline LaCo5 at its relaxed geometry, as listed in the Alexandria database.

abc: 3.8162 7.9279 7.9279
angles: 20.09 90.00 90.00
Element x y z (fractional)
1 La 0.0000 0.0000 0.0000
2 Co 0.0000 0.3240 0.3240
3 Co 0.0000 0.6944 0.6944
4 Co 0.5000 0.2302 0.2302
5 Co 0.5000 0.6072 0.6072
6 Co 0.5000 0.8555 0.8555

Output
total energy	-7.059	eV/atom
calculated density	8.74	Mg/m³
space-group type	Amm2
calculated volume	13.73	Å³ per atom
energy of formation	0.2792	eV per atom



First-principles (GGA-PBEsol) data for crystalline LaCo3 at its relaxed geometry, as listed in the Alexandria database.

abc: 7.0851 6.4290 5.4172
angles: 90.00 90.00 90.00
Element x y z (fractional)
1 La 0.0299 0.2500 0.1240
2 La 0.4701 0.7500 0.6240
3 La 0.5299 0.2500 0.3760
4 La 0.9701 0.7500 0.8760
5 Co 0.1326 0.7500 0.3419
6 Co 0.1518 0.0626 0.5849
7 Co 0.1518 0.4374 0.5849
8 Co 0.3482 0.5626 0.0849
9 Co 0.3482 0.9374 0.0849
10 Co 0.3674 0.2500 0.8419
11 Co 0.6326 0.7500 0.1581
12 Co 0.6518 0.0626 0.9151
13 Co 0.6518 0.4374 0.9151
14 Co 0.8482 0.5626 0.4151
15 Co 0.8482 0.9374 0.4151
16 Co 0.8674 0.2500 0.6581

Output
total energy	-7.082	eV/atom
calculated density	8.50	Mg/m³
space-group type	Pnma
calculated volume	15.42	Å³ per atom
energy of formation	0.0576	eV per atom



First-principles (GGA-PBEsol) data for crystalline La3Co at its relaxed geometry, as listed in the Alexandria database.

abc: 6.9162 9.8205 6.4811
angles: 90.00 90.00 90.00
Element x y z (fractional)
1 La 0.0602 0.2500 0.1351
2 La 0.1557 0.0683 0.6669
3 La 0.1557 0.4317 0.6669
4 La 0.3443 0.5683 0.1669
5 La 0.3443 0.9317 0.1669
6 La 0.4398 0.7500 0.6351
7 La 0.5602 0.2500 0.3649
8 La 0.6557 0.0683 0.8331
9 La 0.6557 0.4317 0.8331
10 La 0.8443 0.5683 0.3331
11 La 0.8443 0.9317 0.3331
12 La 0.9398 0.7500 0.8649
13 Co 0.1225 0.7500 0.4310
14 Co 0.3775 0.2500 0.9310
15 Co 0.6225 0.7500 0.0690
16 Co 0.8775 0.2500 0.5690

Output
total energy	-6.040	eV/atom
calculated density	7.18	Mg/m³
space-group type	Pnma
calculated volume	27.51	Å³ per atom
energy of formation	-0.0956	eV per atom